# 1
# Cs2K6Au3O

Crystalline Cs2K6Au3O at its relaxed geometry (PBE-GGA, Alexandria).

Calculated values
M_tot (μB/cell): 0.001
DFT total energy (eV per atom): -2.32
Symmetry: C2/m (12)

abc: 9.6809 9.6809 7.4762
angles: 91.78 91.78 54.76
Atoms (fractional coordinates):
Cs: 0.1905 0.1905 0.3438
Cs: 0.8095 0.8095 0.6562
K: 0.2221 0.6535 0.2063
K: 0.3465 0.7779 0.7937
K: 0.3701 0.3701 0.8082
K: 0.6299 0.6299 0.1918
K: 0.6535 0.2221 0.2063
K: 0.7779 0.3465 0.7937
Au: 0.0000 0.0000 0.5000
Au: 0.0000 0.5000 0.0000
Au: 0.5000 0.0000 0.0000
O: 0.5000 0.5000 0.0000


# 2
# Cs6KAuO

Crystalline Cs6KAuO at its relaxed geometry (PBE-GGA, Alexandria).

Calculated values
M_tot (μB/cell): 0.008
DFT total energy (eV per atom): -2.00
Symmetry: Imma (74)

abc: 11.8110 11.8110 11.8110
angles: 119.02 118.46 92.20
Atoms (fractional coordinates):
Cs: 0.0358 0.7858 0.2500
Cs: 0.0468 0.3905 0.1853
Cs: 0.0468 0.8615 0.6563
Cs: 0.2948 0.1385 0.6853
Cs: 0.2948 0.6095 0.1563
Cs: 0.3696 0.1196 0.2500
Cs: 0.6304 0.8804 0.7500
Cs: 0.7052 0.3905 0.8437
Cs: 0.7052 0.8615 0.3147
Cs: 0.9532 0.1385 0.3437
Cs: 0.9532 0.6095 0.8147
Cs: 0.9642 0.2142 0.7500
K: 0.3505 0.6005 0.7500
K: 0.6495 0.3995 0.2500
Au: 0.0000 0.0000 0.0000
Au: 0.5000 0.0000 0.5000
O: 0.0000 0.0000 0.5000
O: 0.0000 0.5000 0.0000


# 3
# CsK8Au2O

Crystalline CsK8Au2O at its relaxed geometry (PBE-GGA, Alexandria).

Calculated values
M_tot (μB/cell): 0.000
DFT total energy (eV per atom): -2.11
Symmetry: P-1 (2)

abc: 6.9670 8.0528 11.6822
angles: 98.16 98.27 113.25
Atoms (fractional coordinates):
Cs: 0.0000 0.0000 0.0000
K: 0.0727 0.7221 0.3966
K: 0.2707 0.2379 0.3944
K: 0.2934 0.6101 0.9194
K: 0.3244 0.0837 0.6846
K: 0.6756 0.9163 0.3154
K: 0.7066 0.3899 0.0806
K: 0.7293 0.7621 0.6056
K: 0.9273 0.2779 0.6034
Au: 0.2602 0.4893 0.1875
Au: 0.7398 0.5107 0.8125
O: 0.0000 0.0000 0.5000


# 4
# Cs4K3Au3O2

Crystalline Cs4K3Au3O2 at its relaxed geometry (PBE-GGA, Alexandria).

Calculated values
M_tot (μB/cell): 0.000
DFT total energy (eV per atom): -2.87
Symmetry: Imm2 (44)

abc: 15.0822 15.0822 15.0822
angles: 159.49 30.73 157.37
Atoms (fractional coordinates):
Cs: 0.0904 0.0000 0.0904
Cs: 0.3115 0.5008 0.8107
Cs: 0.6901 0.5008 0.1893
Cs: 0.9096 0.0000 0.9096
K: 0.4060 0.9985 0.4075
K: 0.4971 0.4971 0.0000
K: 0.5909 0.9985 0.5925
Au: 0.0120 0.5120 0.5000
Au: 0.1801 0.5009 0.6791
Au: 0.8218 0.5009 0.3209
O: 0.4086 0.5013 0.9073
O: 0.5940 0.5013 0.0927


# 5
# CsKAuO2

Crystalline CsKAuO2 at its relaxed geometry (PBE-GGA, Alexandria).

Calculated values
M_tot (μB/cell): 2.005
DFT total energy (eV per atom): -3.87
Symmetry: Cmme (67)

abc: 8.1178 8.1178 4.9524
angles: 90.00 90.00 116.05
Atoms (fractional coordinates):
Cs: 0.2500 0.7500 0.7689
Cs: 0.7500 0.2500 0.2311
K: 0.2500 0.2500 0.0000
K: 0.7500 0.7500 0.0000
Au: 0.0000 0.0000 0.5000
Au: 0.5000 0.5000 0.5000
O: 0.1045 0.8955 0.2347
O: 0.3955 0.6045 0.2347
O: 0.6045 0.3955 0.7653
O: 0.8955 0.1045 0.7653


# 6
# Cs4K2Au2O

Crystalline Cs4K2Au2O at its relaxed geometry (PBE-GGA, Alexandria).

Calculated values
M_tot (μB/cell): 0.270
DFT total energy (eV per atom): -2.37
Symmetry: C2/m (12)

abc: 8.1941 8.1941 8.6756
angles: 120.43 120.43 61.93
Atoms (fractional coordinates):
Cs: 0.1959 0.7218 0.7295
Cs: 0.2782 0.8041 0.2705
Cs: 0.7218 0.1959 0.7295
Cs: 0.8041 0.2782 0.2705
K: 0.2230 0.2230 0.1326
K: 0.7770 0.7770 0.8674
Au: 0.2449 0.2449 0.7629
Au: 0.7551 0.7551 0.2371
O: 0.0000 0.0000 0.0000


# 7
# Cs3K4Au3O2

Crystalline Cs3K4Au3O2 at its relaxed geometry (PBE-GGA, Alexandria).

Calculated values
M_tot (μB/cell): 0.000
DFT total energy (eV per atom): -2.86
Symmetry: Immm (71)

abc: 14.9448 14.9448 14.9448
angles: 159.49 157.40 30.71
Atoms (fractional coordinates):
Cs: 0.0000 0.0000 0.0000
Cs: 0.4027 0.9027 0.5000
Cs: 0.5973 0.0973 0.5000
K: 0.1069 0.6069 0.5000
K: 0.1950 0.1950 0.0000
K: 0.8050 0.8050 0.0000
K: 0.8931 0.3931 0.5000
Au: 0.3128 0.3128 0.0000
Au: 0.5000 0.5000 0.0000
Au: 0.6872 0.6872 0.0000
O: 0.1061 0.1061 0.0000
O: 0.8939 0.8939 0.0000


# 8
# CsK2PAu

Crystalline CsK2PAu at its relaxed geometry (PBE-GGA, Alexandria).

Calculated values
M_tot (μB/cell): 0.213
DFT total energy (eV per atom): -2.48
Symmetry: P4/mmm (123)
ΔH_f (0 K) (eV per atom): -0.1300

abc: 6.4102 6.4102 4.8809
angles: 90.00 90.00 90.00
Atoms (fractional coordinates):
Cs: 0.0000 0.0000 0.0000
K: 0.0000 0.5000 0.5000
K: 0.5000 0.0000 0.5000
P: 0.5000 0.5000 0.5000
Au: 0.5000 0.5000 0.0000


# 9
# Cs2KPAu

Crystalline Cs2KPAu at its relaxed geometry (PBE-GGA, Alexandria).

Calculated values
M_tot (μB/cell): 0.000
DFT total energy (eV per atom): -2.40
Symmetry: P4/mmm (123)
ΔH_f (0 K) (eV per atom): -0.1005

abc: 7.3452 7.3452 4.6238
angles: 90.00 90.00 90.00
Atoms (fractional coordinates):
Cs: 0.0000 0.5000 0.0000
Cs: 0.5000 0.0000 0.0000
K: 0.0000 0.0000 0.5000
P: 0.5000 0.5000 0.0000
Au: 0.5000 0.5000 0.5000


# 10
# CsK2PdAu

Crystalline CsK2PdAu at its relaxed geometry (PBE-GGA, Alexandria).

Calculated values
M_tot (μB/cell): 0.000
DFT total energy (eV per atom): -2.33
Symmetry: P4/mmm (123)
ΔH_f (0 K) (eV per atom): -0.0219
E above lowest polymorph (meV/atom): 0

abc: 6.0817 6.0817 5.4436
angles: 90.00 90.00 90.00
Atoms (fractional coordinates):
Cs: 0.0000 0.0000 0.0000
K: 0.0000 0.5000 0.5000
K: 0.5000 0.0000 0.5000
Pd: 0.5000 0.5000 0.5000
Au: 0.5000 0.5000 0.0000


# 11
# Cs2KPdAu

Crystalline Cs2KPdAu at its relaxed geometry (PBE-GGA, Alexandria).

Calculated values
M_tot (μB/cell): 0.000
DFT total energy (eV per atom): -2.24
Symmetry: P4/mmm (123)
ΔH_f (0 K) (eV per atom): 0.0101
E above lowest polymorph (meV/atom): 0

abc: 6.6195 6.6195 6.0951
angles: 90.00 90.00 90.00
Atoms (fractional coordinates):
Cs: 0.0000 0.5000 0.0000
Cs: 0.5000 0.0000 0.0000
K: 0.0000 0.0000 0.5000
Pd: 0.0000 0.0000 0.0000
Au: 0.5000 0.5000 0.5000


# 12
# Cs2KPdAu

Crystalline Cs2KPdAu at its relaxed geometry (PBE-GGA, Alexandria).

Calculated values
M_tot (μB/cell): 0.000
DFT total energy (eV per atom): -2.21
Symmetry: P4/mmm (123)
ΔH_f (0 K) (eV per atom): 0.0496
E above lowest polymorph (meV/atom): 40

abc: 6.5926 6.5926 5.3978
angles: 90.00 90.00 90.00
Atoms (fractional coordinates):
Cs: 0.0000 0.5000 0.0000
Cs: 0.5000 0.0000 0.0000
K: 0.0000 0.0000 0.5000
Pd: 0.5000 0.5000 0.0000
Au: 0.5000 0.5000 0.5000